[1]
The following is a DFT calculation (PBE-GGA) of MoAs3W after structural relaxation.

Output
Offset from the most stable computed form = 0 meV per atom
Crystal system = cubic

Cell: 4.8845 4.8845 4.8845 Å, 90.00 90.00 90.00°
Space group Pm-3m (No. 221)
One atom of each set of equivalent atoms:
Mo1 0.0000 0.0000 0.0000 (multiplicity 1)
As1 0.0000 0.5000 0.5000 (multiplicity 3)
W1 0.5000 0.5000 0.5000 (multiplicity 1)

=====

[2]
The following is a DFT calculation (PBE-GGA) of MoAsW2 after structural relaxation.

Output
Crystal system = orthorhombic

Cell: 3.2463 4.6765 8.4905 Å, 90.00 90.00 90.00°
Space group Cmm2 (No. 35)
One atom of each set of equivalent atoms:
Mo1 0.0000 0.0000 0.0000 (multiplicity 2)
As1 0.0000 0.5000 0.2452 (multiplicity 2)
W1 0.0000 0.0000 0.4926 (multiplicity 2)
W2 0.0000 0.5000 0.7468 (multiplicity 2)

=====

[3]
The following is a DFT calculation (PBE-GGA) of MoAsW2 after structural relaxation.

Output
Crystal system = monoclinic

Cell: 2.8769 4.3876 5.1848 Å, 90.00 102.43 90.00°
Space group P2/m (No. 10)
One atom of each set of equivalent atoms:
Mo1 0.0000 0.0000 0.0000 (multiplicity 1)
As1 0.0000 0.0000 0.5000 (multiplicity 1)
W1 0.4989 0.5000 0.2490 (multiplicity 2)

=====

[4]
The following is a DFT calculation (PBE-GGA) of MoAs2W2 after structural relaxation.

Output
Offset from the most stable computed form = 346 meV per atom
Crystal system = tetragonal

Cell: 4.3440 4.3440 9.4813 Å, 90.00 90.00 90.00°
Space group I4/mmm (No. 139)
One atom of each set of equivalent atoms:
Mo1 0.0000 0.0000 0.0000 (multiplicity 2)
As1 0.0000 0.0000 0.3760 (multiplicity 4)
W1 0.0000 0.5000 0.2500 (multiplicity 4)

=====

[5]
The following is a DFT calculation (PBE-GGA) of ZrMo2AsW after structural relaxation.

Output
Crystal system = tetragonal

Cell: 4.8413 4.8413 4.6711 Å, 90.00 90.00 90.00°
Space group P4/mmm (No. 123)
One atom of each set of equivalent atoms:
Zr1 0.0000 0.0000 0.0000 (multiplicity 1)
Mo1 0.0000 0.5000 0.5000 (multiplicity 2)
As1 0.5000 0.5000 0.0000 (multiplicity 1)
W1 0.5000 0.5000 0.5000 (multiplicity 1)

=====

[6]
The following is a DFT calculation (PBE-GGA) of YMo2As after structural relaxation.

Output
Crystal system = trigonal

Cell: 4.3388 4.3388 14.8752 Å, 90.00 90.00 120.00°
Space group R3m (No. 160, hexagonal axes)
One atom of each set of equivalent atoms:
Y1 0.0000 0.0000 0.0000 (multiplicity 3)
Mo1 0.0000 0.0000 0.2122 (multiplicity 3)
Mo2 0.0000 0.0000 0.4994 (multiplicity 3)
As1 0.0000 0.0000 0.7907 (multiplicity 3)

=====

[7]
The following is a DFT calculation (PBE-GGA) of YMo2As after structural relaxation.

Output
Crystal system = monoclinic

Cell: 9.5474 3.3598 4.9312 Å, 90.00 103.00 90.00°
Space group C2/m (No. 12)
One atom of each set of equivalent atoms:
Y1 0.0000 0.0000 0.0000 (multiplicity 2)
Mo1 0.2335 0.0000 0.6769 (multiplicity 4)
As1 0.0000 0.5000 0.5000 (multiplicity 2)

=====

[8]
The following is a DFT calculation (PBE-GGA) of YMoAs2 after structural relaxation.

Output
Offset from the most stable computed form = 98 meV per atom
Crystal system = tetragonal

Cell: 3.2478 3.2478 6.9850 Å, 90.00 90.00 90.00°
Space group P4/mmm (No. 123)
One atom of each set of equivalent atoms:
Y1 0.0000 0.0000 0.0000 (multiplicity 1)
Mo1 0.0000 0.0000 0.5000 (multiplicity 1)
As1 0.5000 0.5000 0.2893 (multiplicity 2)

=====

[9]
The following is a DFT calculation (PBE-GGA) of Y2MoAs after structural relaxation.

Output
Crystal system = trigonal

Cell: 3.7061 3.7061 24.2094 Å, 90.00 90.00 120.00°
Space group R-3m (No. 166, hexagonal axes)
One atom of each set of equivalent atoms:
Y1 0.0000 0.0000 0.2438 (multiplicity 6)
Mo1 0.0000 0.0000 0.0000 (multiplicity 3)
As1 0.0000 0.0000 0.5000 (multiplicity 3)

=====

[10]
The following is a DFT calculation (PBE-GGA) of YMoAs2 after structural relaxation.

Output
Offset from the most stable computed form = 17 meV per atom
Crystal system = orthorhombic

Cell: 3.4239 3.6171 13.0165 Å, 90.00 90.00 90.00°
Space group Imm2 (No. 44)
One atom of each set of equivalent atoms:
Y1 0.0000 0.0000 0.0000 (multiplicity 2)
Mo1 0.0000 0.5000 0.2501 (multiplicity 2)
As1 0.0000 0.0000 0.6073 (multiplicity 2)
As2 0.0000 0.5000 0.8270 (multiplicity 2)

=====

[11]
The following is a DFT calculation (PBE-GGA) of Y4MoAs after structural relaxation.

Output
Crystal system = cubic

Cell: 8.5393 8.5393 8.5393 Å, 90.00 90.00 90.00°
Space group F-43m (No. 216)
One atom of each set of equivalent atoms:
Y1 0.1235 0.1235 0.3765 (multiplicity 16)
Mo1 0.2500 0.2500 0.7500 (multiplicity 4)
As1 0.0000 0.0000 0.0000 (multiplicity 4)

=====

[12]
The following is a DFT calculation (PBE-GGA) of Y2MoAs after structural relaxation.

Output
Crystal system = orthorhombic

Cell: 4.1456 5.3010 8.2332 Å, 90.00 90.00 90.00°
Space group Cmmm (No. 65)
One atom of each set of equivalent atoms:
Y1 0.0000 0.0000 0.2430 (multiplicity 4)
Mo1 0.0000 0.5000 0.5000 (multiplicity 2)
As1 0.0000 0.5000 0.0000 (multiplicity 2)

=====

[13]
The following is a DFT calculation (PBE-GGA) of YMo2As after structural relaxation.

Output
Crystal system = tetragonal

Cell: 3.4549 3.4549 6.3171 Å, 90.00 90.00 90.00°
Space group P4/mmm (No. 123)
One atom of each set of equivalent atoms:
Y1 0.0000 0.0000 0.0000 (multiplicity 1)
Mo1 0.5000 0.5000 0.3062 (multiplicity 2)
As1 0.0000 0.0000 0.5000 (multiplicity 1)

=====

[14]
The following is a DFT calculation (PBE-GGA) of YMo2As after structural relaxation.

Output
Crystal system = orthorhombic

Cell: 3.4907 5.0083 8.6199 Å, 90.00 90.00 90.00°
Space group Cmm2 (No. 35)
One atom of each set of equivalent atoms:
Y1 0.0000 0.0000 0.0000 (multiplicity 2)
Mo1 0.0000 0.0000 0.5019 (multiplicity 2)
Mo2 0.0000 0.5000 0.2800 (multiplicity 2)
As1 0.0000 0.5000 0.7299 (multiplicity 2)

=====

[15]
The following is a DFT calculation (PBE-GGA) of Y2MoAs after structural relaxation.

Output
Crystal system = tetragonal

Cell: 3.6845 3.6845 6.4729 Å, 90.00 90.00 90.00°
Space group P4/mmm (No. 123)
One atom of each set of equivalent atoms:
Y1 0.0000 0.0000 0.2457 (multiplicity 2)
Mo1 0.5000 0.5000 0.5000 (multiplicity 1)
As1 0.5000 0.5000 0.0000 (multiplicity 1)

=====

[16]
The following is a DFT calculation (PBE-GGA) of YMo2As after structural relaxation.

Output
Crystal system = orthorhombic

Cell: 3.5414 4.7154 8.8938 Å, 90.00 90.00 90.00°
Space group Imm2 (No. 44)
One atom of each set of equivalent atoms:
Y1 0.0000 0.0000 0.0000 (multiplicity 2)
Mo1 0.0000 0.0000 0.5142 (multiplicity 2)
Mo2 0.0000 0.5000 0.2309 (multiplicity 2)
As1 0.0000 0.5000 0.7728 (multiplicity 2)

=====

[17]
The following is a DFT calculation (PBE-GGA) of YMoAs4 after structural relaxation.

Output
Crystal system = cubic

Cell: 7.8044 7.8044 7.8044 Å, 90.00 90.00 90.00°
Space group F-43m (No. 216)
One atom of each set of equivalent atoms:
Y1 0.0000 0.0000 0.0000 (multiplicity 4)
Mo1 0.2500 0.2500 0.2500 (multiplicity 4)
As1 0.1243 0.1243 0.6243 (multiplicity 16)

=====

[18]
The following is a DFT calculation (PBE-GGA) of Y3MoAs after structural relaxation.

Output
Offset from the most stable computed form = 0 meV per atom
Crystal system = cubic

Cell: 5.3581 5.3581 5.3581 Å, 90.00 90.00 90.00°
Space group Pm-3m (No. 221)
One atom of each set of equivalent atoms:
Y1 0.0000 0.0000 0.5000 (multiplicity 3)
Mo1 0.5000 0.5000 0.5000 (multiplicity 1)
As1 0.0000 0.0000 0.0000 (multiplicity 1)

=====

[19]
The following is a DFT calculation (PBE-GGA) of YMoAs2 after structural relaxation.

Output
Offset from the most stable computed form = 241 meV per atom
Crystal system = tetragonal

Cell: 3.6609 3.6609 5.8753 Å, 90.00 90.00 90.00°
Space group P4mm (No. 99)
One atom of each set of equivalent atoms:
Y1 0.0000 0.0000 0.0000 (multiplicity 1)
Mo1 0.5000 0.5000 0.6555 (multiplicity 1)
As1 0.0000 0.0000 0.5094 (multiplicity 1)
As2 0.5000 0.5000 0.1719 (multiplicity 1)

=====

[20]
The following is a DFT calculation (PBE-GGA) of YMo2As after structural relaxation.

Output
Crystal system = tetragonal

Cell: 3.8998 3.8998 4.8879 Å, 90.00 90.00 90.00°
Space group P4/mmm (No. 123)
One atom of each set of equivalent atoms:
Y1 0.0000 0.0000 0.0000 (multiplicity 1)
Mo1 0.0000 0.5000 0.5000 (multiplicity 2)
As1 0.5000 0.5000 0.0000 (multiplicity 1)

=====

[21]
The following is a DFT calculation (PBE-GGA) of Y2MoAs after structural relaxation.

Output
Crystal system = tetragonal

Cell: 7.7621 7.7621 6.4058 Å, 90.00 90.00 90.00°
Space group I-42d (No. 122)
One atom of each set of equivalent atoms:
Y1 0.2429 0.2500 0.1250 (multiplicity 8)
Mo1 0.0000 0.0000 0.5000 (multiplicity 4)
As1 0.0000 0.0000 0.0000 (multiplicity 4)

=====

[22]
The following is a DFT calculation (PBE-GGA) of YMo2As2 after structural relaxation.

Output
Offset from the most stable computed form = 62 meV per atom
Crystal system = tetragonal

Cell: 4.7630 4.7630 8.7220 Å, 90.00 90.00 90.00°
Space group I4/mmm (No. 139)
One atom of each set of equivalent atoms:
Y1 0.0000 0.0000 0.0000 (multiplicity 2)
Mo1 0.0000 0.0000 0.3716 (multiplicity 4)
As1 0.0000 0.5000 0.2500 (multiplicity 4)

=====

[23]
The following is a DFT calculation (PBE-GGA) of YMoAs2 after structural relaxation.

Output
Offset from the most stable computed form = 219 meV per atom
Crystal system = orthorhombic

Cell: 3.5932 4.2685 5.3433 Å, 90.00 90.00 90.00°
Space group Pmmm (No. 47)
One atom of each set of equivalent atoms:
Y1 0.0000 0.0000 0.0000 (multiplicity 1)
Mo1 0.5000 0.0000 0.5000 (multiplicity 1)
As1 0.5000 0.5000 0.2419 (multiplicity 2)

=====

[24]
The following is a DFT calculation (PBE-GGA) of YMo2As after structural relaxation.

Output
Crystal system = orthorhombic

Cell: 3.4845 4.9920 8.6038 Å, 90.00 90.00 90.00°
Space group Cmmm (No. 65)
One atom of each set of equivalent atoms:
Y1 0.0000 0.0000 0.0000 (multiplicity 2)
Mo1 0.0000 0.5000 0.2874 (multiplicity 4)
As1 0.0000 0.0000 0.5000 (multiplicity 2)

=====

[25]
The following is a DFT calculation (PBE-GGA) of YMo2As after structural relaxation.

Output
Crystal system = tetragonal

Cell: 3.2735 3.2735 7.0682 Å, 90.00 90.00 90.00°
Space group P4mm (No. 99)
One atom of each set of equivalent atoms:
Y1 0.0000 0.0000 0.0000 (multiplicity 1)
Mo1 0.0000 0.0000 0.5013 (multiplicity 1)
Mo2 0.5000 0.5000 0.7014 (multiplicity 1)
As1 0.5000 0.5000 0.3042 (multiplicity 1)

=====

[26]
The following is a DFT calculation (PBE-GGA) of YMoAs2 after structural relaxation.

Output
Offset from the most stable computed form = 0 meV per atom
Crystal system = trigonal

Cell: 3.9857 3.9857 18.0679 Å, 90.00 90.00 120.00°
Space group R-3m (No. 166, hexagonal axes)
One atom of each set of equivalent atoms:
Y1 0.0000 0.0000 0.0000 (multiplicity 3)
Mo1 0.0000 0.0000 0.5000 (multiplicity 3)
As1 0.0000 0.0000 0.2382 (multiplicity 6)

=====

[27]
The following is a DFT calculation (PBE-GGA) of YMoAs2 after structural relaxation.

Output
Offset from the most stable computed form = 139 meV per atom
Crystal system = cubic

Cell: 6.6549 6.6549 6.6549 Å, 90.00 90.00 90.00°
Space group Fm-3m (No. 225)
One atom of each set of equivalent atoms:
Y1 0.0000 0.0000 0.0000 (multiplicity 4)
Mo1 0.0000 0.0000 0.5000 (multiplicity 4)
As1 0.2500 0.2500 0.2500 (multiplicity 8)

=====

[28]
The following is a DFT calculation (PBE-GGA) of YMoAs2 after structural relaxation.

Output
Offset from the most stable computed form = 460 meV per atom
Crystal system = tetragonal

Cell: 5.7664 5.7664 13.1726 Å, 90.00 90.00 90.00°
Space group I-42d (No. 122)
One atom of each set of equivalent atoms:
Y1 0.0000 0.0000 0.0000 (multiplicity 4)
Mo1 0.0000 0.0000 0.5000 (multiplicity 4)
As1 0.1898 0.2500 0.6250 (multiplicity 8)

=====

[29]
The following is a DFT calculation (PBE-GGA) of YMo2As after structural relaxation.

Output
Crystal system = trigonal

Cell: 3.2968 3.2968 24.7736 Å, 90.00 90.00 120.00°
Space group R-3m (No. 166, hexagonal axes)
One atom of each set of equivalent atoms:
Y1 0.0000 0.0000 0.0000 (multiplicity 3)
Mo1 0.0000 0.0000 0.2349 (multiplicity 6)
As1 0.0000 0.0000 0.5000 (multiplicity 3)

=====

[30]
The following is a DFT calculation (PBE-GGA) of YMo2As after structural relaxation.

Output
Crystal system = monoclinic

Cell: 3.3548 4.3247 5.4513 Å, 90.00 105.32 90.00°
Space group Pm (No. 6)
One atom of each set of equivalent atoms:
Y1 0.0000 0.0000 0.0000 (multiplicity 1)
Mo1 0.2441 0.5000 0.5639 (multiplicity 1)
Mo2 0.6609 0.0000 0.4838 (multiplicity 1)
As1 0.5757 0.5000 0.1788 (multiplicity 1)

=====

Number 1: magnetic moment 0.79 μB/atom, VASP energy -6.46 eV per atom. Number 2: magnetic moment 0.00 μB/atom, VASP energy -10.07 eV per atom. Number 3: magnetic moment 0.00 μB/atom, VASP energy -10.03 eV per atom. Number 4: magnetic moment 0.47 μB/atom, VASP energy -8.48 eV per atom. Number 5: magnetic moment 0.00 μB/atom, VASP energy -8.32 eV per atom. Number 6: magnetic moment 0.00 μB/atom, VASP energy -8.36 eV per atom. Number 7: magnetic moment 0.00 μB/atom, VASP energy -8.20 eV per atom. Number 8: magnetic moment 0.00 μB/atom, VASP energy -7.15 eV per atom. Number 9: magnetic moment 0.23 μB/atom, VASP energy -7.19 eV per atom. Number 10: magnetic moment 0.00 μB/atom, VASP energy -7.23 eV per atom. Number 11: magnetic moment 0.00 μB/atom, VASP energy -6.13 eV per atom. Number 12: magnetic moment 0.07 μB/atom, VASP energy -7.27 eV per atom. Number 13: magnetic moment 0.00 μB/atom, VASP energy -8.09 eV per atom. Number 14: magnetic moment 0.00 μB/atom, VASP energy -8.06 eV per atom. Number 15: magnetic moment 0.00 μB/atom, VASP energy -7.40 eV per atom. Number 16: magnetic moment 0.00 μB/atom, VASP energy -8.10 eV per atom. Number 17: magnetic moment 0.18 μB/atom, VASP energy -5.67 eV per atom. Number 18: magnetic moment 0.38 μB/atom, VASP energy -6.69 eV per atom. Number 19: magnetic moment 0.00 μB/atom, VASP energy -7.01 eV per atom. Number 20: magnetic moment 0.00 μB/atom, VASP energy -8.12 eV per atom. Number 21: magnetic moment 0.38 μB/atom, VASP energy -6.87 eV per atom. Number 22: magnetic moment 0.00 μB/atom, VASP energy -7.82 eV per atom. Number 23: magnetic moment 0.00 μB/atom, VASP energy -7.03 eV per atom. Number 24: magnetic moment 0.00 μB/atom, VASP energy -7.86 eV per atom. Number 25: magnetic moment 0.00 μB/atom, VASP energy -8.34 eV per atom. Number 26: magnetic moment 0.47 μB/atom, VASP energy -7.25 eV per atom. Number 27: magnetic moment 0.00 μB/atom, VASP energy -7.11 eV per atom. Number 28: magnetic moment 0.30 μB/atom, VASP energy -6.79 eV per atom. Number 29: magnetic moment 0.00 μB/atom, VASP energy -7.87 eV per atom. Number 30: magnetic moment 0.00 μB/atom, VASP energy -8.30 eV per atom.